Run w
Computed, not measured: BaTa2Ag after structural relaxation at the PBEsol level of DFT.

```
data_BaTa2Ag
_chemical_formula_sum 'Ba1 Ta2 Ag1'
_cell_length_a 2.8543
_cell_length_b 5.2152
_cell_length_c 5.8683
_cell_angle_alpha 90.00
_cell_angle_beta 90.00
_cell_angle_gamma 90.00
_symmetry_space_group_name_H-M 'P 1'
_symmetry_Int_Tables_number 1
loop_
_symmetry_equiv_pos_as_xyz
'x,y,z'
loop_
_atom_site_label
_atom_site_type_symbol
_atom_site_fract_x
_atom_site_fract_y
_atom_site_fract_z
Ba1 Ba 0.5000 0.5000 0.5000
Ag1 Ag 0.5000 0.5000 0.0000
Ta1 Ta 0.0000 0.0000 0.7595
Ta2 Ta 0.0000 0.0000 0.2405
```

---

Run x
Computed, not measured: BaTa2Ag after structural relaxation at the PBEsol level of DFT.

```
data_BaTa2Ag
_chemical_formula_sum 'Ba1 Ta2 Ag1'
_cell_length_a 3.4108
_cell_length_b 3.4120
_cell_length_c 8.1120
_cell_angle_alpha 90.00
_cell_angle_beta 90.00
_cell_angle_gamma 90.00
_symmetry_space_group_name_H-M 'P 1'
_symmetry_Int_Tables_number 1
loop_
_symmetry_equiv_pos_as_xyz
'x,y,z'
loop_
_atom_site_label
_atom_site_type_symbol
_atom_site_fract_x
_atom_site_fract_y
_atom_site_fract_z
Ba1 Ba 0.5000 0.5000 0.7465
Ag1 Ag 0.0000 0.0000 0.4401
Ta1 Ta 0.0000 0.0000 0.0781
Ta2 Ta 0.5000 0.5000 0.2354
```

---

The most stable of them is run x.